DFT (PBE) results for a relaxed structure of LaAg2Hg2.

Calculated values
As for the formation enthalpy at 0 K: -265 meV/atom. The density of states at the Fermi level comes out at 0.615 states/eV per atom.

Cell and atoms, written as POSCAR:
```
LaAg2Hg2
1.0
-4.9493 1.5138 -1.8235
-2.2373 -2.8327 -3.6462
-3.0795 -4.2813 1.5285
Ag La Hg
2 1 2
Cartesian
-3.8187 -3.5473 -0.3836
-6.4474 -2.0529 -3.5577
-3.5933 -0.6595 -2.7349
-6.1064 -1.8060 -0.3805
-4.1597 -3.7942 -3.5607
```

***

DFT (PBE) results for a relaxed structure of Sc2Bi2I.

Calculated values
The density of states at the Fermi level comes out at 0.718 states/eV per atom. For the energy relative to the elements, uncorrected, the calculation gives -0.542 eV per atom.

Cell and atoms, written as POSCAR:
```
Sc2Bi2I
1.0
-4.1059 -7.1948 1.2267
5.5325 -3.9860 -4.8612
2.2368 -0.7391 3.1518
I Bi Sc
2 4 4
Cartesian
0.0000 0.0000 0.0000
0.7133 -5.5904 -1.8173
0.4066 -3.5205 1.3422
4.0832 -3.9183 -1.3604
-0.4197 -8.0017 0.8777
3.2569 -8.3995 -1.8249
1.2472 -2.4987 -1.4711
3.2548 -5.8213 -3.6751
-1.8281 -5.3596 0.0405
0.1794 -8.6821 -2.1634
```

***

DFT (PBE) results for a relaxed structure of MnAlCl2.

Calculated values
The density of states at the Fermi level comes out at 0.255 states/eV per atom. For the energy relative to the elements, uncorrected, the calculation gives 0.282 eV per atom.

Cell and atoms, written as POSCAR:
```
MnAlCl2
1.0
6.2381 0.0000 0.0000
0.0000 6.2381 0.0000
3.1190 3.1190 4.9208
Al Mn Cl
2 2 4
Cartesian
3.1190 3.1190 0.0000
3.1190 6.2381 2.4604
6.2381 3.1190 2.4604
0.0000 0.0000 0.0000
0.9142 4.6786 1.2302
4.6786 4.0332 3.6906
5.3239 1.5595 1.2302
7.7976 8.4429 3.6906
```

***

DFT (PBE) results for a relaxed structure of TiNbNF2.

Calculated values
The density of states at the Fermi level comes out at 0.813 states/eV per atom. For the energy relative to the elements, uncorrected, the calculation gives -1.067 eV per atom.

Cell and atoms, written as POSCAR:
```
TiNbNF2
1.0
-1.1018 -2.1279 3.0831
3.4337 -1.8584 -0.0555
1.6042 2.8873 2.5660
F Ti N Nb
2 1 1 1
Cartesian
-0.5509 -1.0639 1.5415
1.7169 -0.9292 -0.0277
0.0000 0.0000 0.0000
0.8021 1.4436 1.2830
1.9680 -0.5495 2.7968
```

***

The highest density of states at the Fermi level belongs to which entry? TiNbNF2

***

Which of these has the highest density of states at the Fermi level? TiNbNF2

***

Please write out number 1 again, unchanged.
DFT (PBE) results for a relaxed structure of LaAg2Hg2.

Calculated values
As for the formation enthalpy at 0 K: -265 meV/atom. The density of states at the Fermi level comes out at 0.615 states/eV per atom.

Cell and atoms, written as POSCAR:
```
LaAg2Hg2
1.0
-4.9493 1.5138 -1.8235
-2.2373 -2.8327 -3.6462
-3.0795 -4.2813 1.5285
Ag La Hg
2 1 2
Cartesian
-3.8187 -3.5473 -0.3836
-6.4474 -2.0529 -3.5577
-3.5933 -0.6595 -2.7349
-6.1064 -1.8060 -0.3805
-4.1597 -3.7942 -3.5607
```

***

Which formula does entry 1 have? LaAg2Hg2